[1]
First-principles (PBE) data for crystalline UFe2Mo at its relaxed geometry, as listed in the Alexandria database.

Cell: 2.797 2.797 9.052 Å, 81.11 81.11 60.00°
Site moments in Bohr magnetons follow the coordinates.
Positions (direct):
Mo1 0.500 0.500 0.500  -0.23
Fe1 0.243 0.243 0.272  1.74
Fe2 0.757 0.757 0.728  1.74
U1 0.000 0.000 0.000  -0.56

## Properties
Fermi-level density of states = 6.94 states/eV per cell
M_tot = 2.6 μB/cell
distance to the lowest polymorph of the same formula = 272 meV per atom
formation energy from the elements = 0.379 eV per atom

[2]
First-principles (PBE) data for crystalline Li6Mg8Ag at its relaxed geometry, as listed in the Alexandria database.

Cell: 7.720 7.720 7.551 Å, 59.25 59.25 60.00°
Positions (direct):
Mg1 0.583 0.583 0.252
Mg2 0.177 0.878 0.612
Mg3 0.333 0.177 0.612
Mg4 0.122 0.667 0.388
Li1 0.452 0.725 0.880
Mg5 0.667 0.823 0.388
Li2 0.725 0.943 0.880
Li3 0.275 0.057 0.120
Li4 0.057 0.548 0.120
Li5 0.548 0.275 0.120
Mg6 0.878 0.333 0.612
Mg7 0.417 0.417 0.748
Mg8 0.823 0.122 0.388
Ag1 0.000 0.000 0.000
Li6 0.943 0.452 0.880

## Properties
Fermi-level density of states = 4.06 states/eV per cell
M_tot = 0.0 μB/cell
distance to the lowest polymorph of the same formula = 0 meV per atom
formation energy from the elements = -0.052 eV per atom

Look up the Fermi-level density of states of the first one. 6.94 states/eV per cell